[1]
VASP calculation (PBE-GGA) on a relaxed structure of Na2Tl5Pd2.

Computed properties:
**Formation enthalpy at 0 K**: -0.11 eV per atom
**E**: -0.1054 hartree per atom

Cell and atoms, written as CIF:
```
data_Na2Tl5Pd2
_chemical_formula_sum 'Na4 Tl10 Pd4'
_cell_length_a 11.210
_cell_length_b 5.254
_cell_length_c 8.855
_cell_angle_alpha 90.00
_cell_angle_beta 118.75
_cell_angle_gamma 90.00
_space_group_name_H-M_alt 'C 1 2/m 1'
_space_group_IT_number 12
loop_
_space_group_symop_operation_xyz
'x,y,z'
'-x,-y,-z'
'-x,y,-z'
'x,-y,z'
'x+1/2,y+1/2,z'
'-x+1/2,-y+1/2,-z'
'-x+1/2,y+1/2,-z'
'x+1/2,-y+1/2,z'
loop_
_atom_site_label
_atom_site_fract_x
_atom_site_fract_y
_atom_site_fract_z
Na1 0.227 0.000 0.085
Tl1 0.000 0.500 0.000
Tl2 0.010 0.000 0.299
Tl3 0.156 0.500 0.531
Pd1 0.244 0.000 0.712
```


[2]
VASP calculation (PBE-GGA) on a relaxed structure of NbMoRu.

Computed properties:
**ΔE to the lowest computed polymorph**: 43 meV per atom
**Formation enthalpy at 0 K**: -0.05 eV per atom
**E**: -0.3716 hartree per atom

Cell and atoms, written as CIF:
```
data_NbMoRu
_chemical_formula_sum 'Nb4 Mo4 Ru4'
_cell_length_a 9.445
_cell_length_b 4.529
_cell_length_c 5.422
_cell_angle_alpha 90.00
_cell_angle_beta 124.14
_cell_angle_gamma 90.00
_space_group_name_H-M_alt 'C 1 2/m 1'
_space_group_IT_number 12
loop_
_space_group_symop_operation_xyz
'x,y,z'
'-x,-y,-z'
'-x,y,-z'
'x,-y,z'
'x+1/2,y+1/2,z'
'-x+1/2,-y+1/2,-z'
'-x+1/2,y+1/2,-z'
'x+1/2,-y+1/2,z'
loop_
_atom_site_label
_atom_site_fract_x
_atom_site_fract_y
_atom_site_fract_z
Nb1 0.171 0.000 0.321
Mo1 0.000 0.500 0.000
Mo2 0.000 0.500 0.500
Ru1 0.155 0.000 0.809
```


[3]
VASP calculation (PBE-GGA) on a relaxed structure of Na4ZnCl6.

Computed properties:
**E**: -0.1177 hartree per atom

Cell and atoms, written as CIF:
```
data_Na4ZnCl6
_chemical_formula_sum 'Na16 Zn4 Cl24'
_cell_length_a 13.037
_cell_length_b 7.386
_cell_length_c 13.612
_cell_angle_alpha 90.00
_cell_angle_beta 111.22
_cell_angle_gamma 90.00
_space_group_name_H-M_alt 'C 1 c 1'
_space_group_IT_number 9
loop_
_space_group_symop_operation_xyz
'x,y,z'
'x,-y,z+1/2'
'x+1/2,y+1/2,z'
'x+1/2,-y+1/2,z+1/2'
loop_
_atom_site_label
_atom_site_fract_x
_atom_site_fract_y
_atom_site_fract_z
Na1 0.000 0.108 0.000
Na2 0.130 0.310 0.337
Na3 0.291 0.327 0.678
Na4 0.346 0.124 0.988
Zn1 0.054 0.228 0.738
Cl1 0.090 0.483 0.656
Cl2 0.131 0.292 0.914
Cl3 0.150 0.004 0.200
Cl4 0.315 0.230 0.497
Cl5 0.371 0.316 0.171
Cl6 0.448 0.303 0.875
```


[4]
VASP calculation (PBE-GGA) on a relaxed structure of Mn2CoP.

Computed properties:
**Formation enthalpy at 0 K**: -0.01 eV per atom
**E**: -0.2839 hartree per atom

Cell and atoms, written as CIF:
```
data_Mn2CoP
_chemical_formula_sum 'Mn6 Co3 P3'
_cell_length_a 2.5754
_cell_length_b 2.5754
_cell_length_c 22.6081
_cell_angle_alpha 90.00
_cell_angle_beta 90.00
_cell_angle_gamma 120.00
_space_group_name_H-M_alt 'R 3 m'
_space_group_IT_number 160
_space_group_name_Hall 'R 3 -2"'
loop_
_atom_site_label
_atom_site_fract_x
_atom_site_fract_y
_atom_site_fract_z
Mn1 0.0000 0.0000 0.0000
Mn2 0.0000 0.0000 0.2476
Co1 0.0000 0.0000 0.4909
P1 0.0000 0.0000 0.7473
```


[5]
VASP calculation (PBE-GGA) on a relaxed structure of Cd2CoNi.

Computed properties:
**ΔE to the lowest computed polymorph**: 426 meV per atom
**Formation enthalpy at 0 K**: 0.58 eV per atom
**E**: -0.1138 hartree per atom

Cell and atoms, written as CIF:
```
data_Cd2CoNi
_chemical_formula_sum 'Cd8 Co4 Ni4'
_cell_length_a 7.126
_cell_length_b 7.126
_cell_length_c 5.421
_cell_angle_alpha 90.00
_cell_angle_beta 90.00
_cell_angle_gamma 90.00
_space_group_name_H-M_alt 'I -4 2 d'
_space_group_IT_number 122
_space_group_name_Hall 'I -4 2bw'
loop_
_atom_site_label
_atom_site_fract_x
_atom_site_fract_y
_atom_site_fract_z
Cd1 0.244 0.250 0.125
Co1 0.000 0.000 0.500
Ni1 0.000 0.000 0.000
```


[6]
VASP calculation (PBE-GGA) on a relaxed structure of Li2FeMo.

Computed properties:
**ΔE to the lowest computed polymorph**: 185 meV per atom
**Formation enthalpy at 0 K**: 0.42 eV per atom
**E**: -0.1972 hartree per atom

Cell and atoms, written as CIF:
```
data_Li2FeMo
_chemical_formula_sum 'Li4 Fe2 Mo2'
_cell_length_a 4.126
_cell_length_b 4.126
_cell_length_c 5.822
_cell_angle_alpha 90.00
_cell_angle_beta 90.00
_cell_angle_gamma 90.00
_space_group_name_H-M_alt 'I -4 m 2'
_space_group_IT_number 119
_space_group_name_Hall 'I -4 -2'
loop_
_atom_site_label
_atom_site_fract_x
_atom_site_fract_y
_atom_site_fract_z
Li1 0.000 0.000 0.000
Li2 0.000 0.500 0.250
Fe1 0.000 0.000 0.500
Mo1 0.000 0.500 0.750
```


[7]
VASP calculation (PBE-GGA) on a relaxed structure of LiTh2TlOs.

Computed properties:
**Formation enthalpy at 0 K**: -0.22 eV per atom
**E**: -0.2310 hartree per atom

Cell and atoms, written as CIF:
```
data_LiTh2TlOs
_chemical_formula_sum 'Li2 Th4 Tl2 Os2'
_cell_length_a 7.346
_cell_length_b 4.007
_cell_length_c 9.127
_cell_angle_alpha 90.00
_cell_angle_beta 100.58
_cell_angle_gamma 90.00
_space_group_name_H-M_alt 'P 1 21/m 1'
_space_group_IT_number 11
loop_
_space_group_symop_operation_xyz
'x,y,z'
'-x,-y,-z'
'-x,y+1/2,-z'
'x,-y+1/2,z'
loop_
_atom_site_label
_atom_site_fract_x
_atom_site_fract_y
_atom_site_fract_z
Li1 0.149 0.250 0.092
Th1 0.041 0.250 0.673
Th2 0.462 0.750 0.325
Tl1 0.328 0.750 0.924
Os1 0.228 0.250 0.409
```


[8]
VASP calculation (PBE-GGA) on a relaxed structure of Nb2HPtRh.

Computed properties:
**ΔE to the lowest computed polymorph**: 0 meV per atom
**E**: -0.2883 hartree per atom

Cell and atoms, written as CIF:
```
data_Nb2HPtRh
_chemical_formula_sum 'Nb2 H1 Pt1 Rh1'
_cell_length_a 4.063
_cell_length_b 4.063
_cell_length_c 4.055
_cell_angle_alpha 90.00
_cell_angle_beta 90.00
_cell_angle_gamma 90.00
_space_group_name_H-M_alt 'P 4/m m m'
_space_group_IT_number 123
_space_group_name_Hall '-P 4 2'
loop_
_atom_site_label
_atom_site_fract_x
_atom_site_fract_y
_atom_site_fract_z
Nb1 0.000 0.500 0.000
H1 0.000 0.000 0.000
Pt1 0.500 0.500 0.500
Rh1 0.000 0.000 0.500
```


[9]
VASP calculation (PBE-GGA) on a relaxed structure of SmSc2Ti.

Computed properties:
**ΔE to the lowest computed polymorph**: 11 meV per atom
**Formation enthalpy at 0 K**: 0.16 eV per atom
**E**: -0.2265 hartree per atom

Cell and atoms, written as CIF:
```
data_SmSc2Ti
_chemical_formula_sum 'Sm3 Sc6 Ti3'
_cell_length_a 3.2609
_cell_length_b 3.2609
_cell_length_c 31.6622
_cell_angle_alpha 90.00
_cell_angle_beta 90.00
_cell_angle_gamma 120.00
_space_group_name_H-M_alt 'R -3 m'
_space_group_IT_number 166
_space_group_name_Hall '-R 3 2"'
loop_
_atom_site_label
_atom_site_fract_x
_atom_site_fract_y
_atom_site_fract_z
Sm1 0.0000 0.0000 0.0000
Sc1 0.0000 0.0000 0.2412
Ti1 0.0000 0.0000 0.5000
```


[10]
VASP calculation (PBE-GGA) on a relaxed structure of MnSi3Bi.

Computed properties:
**ΔE to the lowest computed polymorph**: 0 meV per atom
**E**: -0.2002 hartree per atom

Cell and atoms, written as CIF:
```
data_MnSi3Bi
_chemical_formula_sum 'Mn1 Si3 Bi1'
_cell_length_a 4.583
_cell_length_b 4.583
_cell_length_c 4.583
_cell_angle_alpha 90.00
_cell_angle_beta 90.00
_cell_angle_gamma 90.00
_space_group_name_H-M_alt 'P m -3 m'
_space_group_IT_number 221
_space_group_name_Hall '-P 4 2 3'
loop_
_atom_site_label
_atom_site_fract_x
_atom_site_fract_y
_atom_site_fract_z
Mn1 0.000 0.000 0.000
Si1 0.000 0.000 0.500
Bi1 0.500 0.500 0.500
```


[11]
VASP calculation (PBE-GGA) on a relaxed structure of AcNdAgTe.

Computed properties:
**E**: -0.1596 hartree per atom

Cell and atoms, written as CIF:
```
data_AcNdAgTe
_chemical_formula_sum 'Ac4 Nd4 Ag4 Te4'
_cell_length_a 7.863
_cell_length_b 7.863
_cell_length_c 7.863
_cell_angle_alpha 90.00
_cell_angle_beta 90.00
_cell_angle_gamma 90.00
_space_group_name_H-M_alt 'F -4 3 m'
_space_group_IT_number 216
_space_group_name_Hall 'F -4 2 3'
loop_
_atom_site_label
_atom_site_fract_x
_atom_site_fract_y
_atom_site_fract_z
Ac1 0.000 0.000 0.000
Nd1 0.000 0.000 0.500
Ag1 0.250 0.250 0.250
Te1 0.250 0.250 0.750
```


[12]
VASP calculation (PBE-GGA) on a relaxed structure of TmAl2Au.

Computed properties:
**Formation enthalpy at 0 K**: -0.48 eV per atom
**E**: -0.1577 hartree per atom

Cell and atoms, written as CIF:
```
data_TmAl2Au
_chemical_formula_sum 'Tm3 Al6 Au3'
_cell_length_a 4.3100
_cell_length_b 4.3100
_cell_length_c 15.2478
_cell_angle_alpha 90.00
_cell_angle_beta 90.00
_cell_angle_gamma 120.00
_space_group_name_H-M_alt 'R -3 m'
_space_group_IT_number 166
_space_group_name_Hall '-R 3 2"'
loop_
_atom_site_label
_atom_site_fract_x
_atom_site_fract_y
_atom_site_fract_z
Tm1 0.0000 0.0000 0.0000
Al1 0.0000 0.0000 0.2161
Au1 0.0000 0.0000 0.5000
```


[13]
VASP calculation (PBE-GGA) on a relaxed structure of Pm4Pu3ScS8.

Computed properties:
**E**: -0.3033 hartree per atom

Cell and atoms, written as CIF:
```
data_Pm4Pu3ScS8
_chemical_formula_sum 'Pm12 Pu9 Sc3 S24'
_cell_length_a 7.9009
_cell_length_b 7.9009
_cell_length_c 19.5282
_cell_angle_alpha 90.00
_cell_angle_beta 90.00
_cell_angle_gamma 120.00
_space_group_name_H-M_alt 'R -3 m'
_space_group_IT_number 166
_space_group_name_Hall '-R 3 2"'
loop_
_atom_site_label
_atom_site_fract_x
_atom_site_fract_y
_atom_site_fract_z
Pm1 0.0000 0.0000 0.0000
Pm2 0.0000 0.5000 0.0000
Pu1 0.0000 0.5000 0.5000
Sc1 0.0000 0.0000 0.5000
S1 0.0000 0.0000 0.2472
S2 0.0081 0.5040 0.2455
```


[14]
VASP calculation (PBE-GGA) on a relaxed structure of Tm3Al5O12.

Computed properties:
**E**: -0.2898 hartree per atom

Cell and atoms, written as CIF:
```
data_Tm3Al5O12
_chemical_formula_sum 'Tm24 Al40 O96'
_cell_length_a 12.011
_cell_length_b 12.011
_cell_length_c 12.011
_cell_angle_alpha 90.00
_cell_angle_beta 90.00
_cell_angle_gamma 90.00
_space_group_name_H-M_alt 'I a -3 d'
_space_group_IT_number 230
_space_group_name_Hall '-I 4bd 2c 3'
loop_
_atom_site_label
_atom_site_fract_x
_atom_site_fract_y
_atom_site_fract_z
Tm1 0.000 0.250 0.125
Al1 0.000 0.000 0.000
Al2 0.000 0.250 0.375
O1 0.029 0.052 0.650
```


[15]
VASP calculation (PBE-GGA) on a relaxed structure of Cu3NiCl.

Computed properties:
**ΔE to the lowest computed polymorph**: 0 meV per atom
**E**: -0.1169 hartree per atom

Cell and atoms, written as CIF:
```
data_Cu3NiCl
_chemical_formula_sum 'Cu3 Ni1 Cl1'
_cell_length_a 4.470
_cell_length_b 4.470
_cell_length_c 4.470
_cell_angle_alpha 90.00
_cell_angle_beta 90.00
_cell_angle_gamma 90.00
_space_group_name_H-M_alt 'P m -3 m'
_space_group_IT_number 221
_space_group_name_Hall '-P 4 2 3'
loop_
_atom_site_label
_atom_site_fract_x
_atom_site_fract_y
_atom_site_fract_z
Cu1 0.000 0.000 0.500
Ni1 0.000 0.000 0.000
Cl1 0.500 0.500 0.500
```


[16]
VASP calculation (PBE-GGA) on a relaxed structure of LiEuLuTl.

Computed properties:
**Formation enthalpy at 0 K**: -0.15 eV per atom
**E**: -0.1809 hartree per atom

Cell and atoms, written as CIF:
```
data_LiEuLuTl
_chemical_formula_sum 'Li4 Eu4 Lu4 Tl4'
_cell_length_a 7.610
_cell_length_b 7.610
_cell_length_c 7.610
_cell_angle_alpha 90.00
_cell_angle_beta 90.00
_cell_angle_gamma 90.00
_space_group_name_H-M_alt 'F -4 3 m'
_space_group_IT_number 216
_space_group_name_Hall 'F -4 2 3'
loop_
_atom_site_label
_atom_site_fract_x
_atom_site_fract_y
_atom_site_fract_z
Li1 0.000 0.000 0.000
Eu1 0.250 0.250 0.750
Lu1 0.250 0.250 0.250
Tl1 0.000 0.000 0.500
```


[17]
VASP calculation (PBE-GGA) on a relaxed structure of CaAc5S8.

Computed properties:
**E**: -0.2239 hartree per atom

Cell and atoms, written as CIF:
```
data_CaAc5S8
_chemical_formula_sum 'Ca2 Ac10 S16'
_cell_length_a 8.981
_cell_length_b 8.981
_cell_length_c 9.014
_cell_angle_alpha 90.00
_cell_angle_beta 90.00
_cell_angle_gamma 90.00
_space_group_name_H-M_alt 'I -4'
_space_group_IT_number 82
loop_
_space_group_symop_operation_xyz
'x,y,z'
'y,-x,-z'
'-x,-y,z'
'-y,x,-z'
'x+1/2,y+1/2,z+1/2'
'y+1/2,-x+1/2,-z+1/2'
'-x+1/2,-y+1/2,z+1/2'
'-y+1/2,x+1/2,-z+1/2'
loop_
_atom_site_label
_atom_site_fract_x
_atom_site_fract_y
_atom_site_fract_z
Ca1 0.000 0.000 0.000
Ac1 0.000 0.500 0.750
Ac2 0.131 0.752 0.369
S1 0.069 0.682 0.046
S2 0.078 0.826 0.694
```


[18]
VASP calculation (PBE-GGA) on a relaxed structure of NbGeI2.

Computed properties:
**ΔE to the lowest computed polymorph**: 0 meV per atom
**E**: -0.1554 hartree per atom

Cell and atoms, written as CIF:
```
data_NbGeI2
_chemical_formula_sum 'Nb4 Ge4 I8'
_cell_length_a 10.265
_cell_length_b 10.265
_cell_length_c 5.184
_cell_angle_alpha 90.00
_cell_angle_beta 90.00
_cell_angle_gamma 90.00
_space_group_name_H-M_alt 'I -4 2 d'
_space_group_IT_number 122
_space_group_name_Hall 'I -4 2bw'
loop_
_atom_site_label
_atom_site_fract_x
_atom_site_fract_y
_atom_site_fract_z
Nb1 0.000 0.000 0.000
Ge1 0.000 0.000 0.500
I1 0.101 0.750 0.125
```


[19]
VASP calculation (PBE-GGA) on a relaxed structure of CuSiTc2.

Computed properties:
**E**: -0.2735 hartree per atom

Cell and atoms, written as CIF:
```
data_CuSiTc2
_chemical_formula_sum 'Cu2 Si2 Tc4'
_cell_length_a 5.297
_cell_length_b 8.099
_cell_length_c 2.672
_cell_angle_alpha 90.00
_cell_angle_beta 108.42
_cell_angle_gamma 90.00
_space_group_name_H-M_alt 'C 1 2/m 1'
_space_group_IT_number 12
loop_
_space_group_symop_operation_xyz
'x,y,z'
'-x,-y,-z'
'-x,y,-z'
'x,-y,z'
'x+1/2,y+1/2,z'
'-x+1/2,-y+1/2,-z'
'-x+1/2,y+1/2,-z'
'x+1/2,-y+1/2,z'
loop_
_atom_site_label
_atom_site_fract_x
_atom_site_fract_y
_atom_site_fract_z
Cu1 0.000 0.000 0.000
Si1 0.000 0.500 0.000
Tc1 0.250 0.250 0.500
```


[20]
VASP calculation (PBE-GGA) on a relaxed structure of Tl2NiSb.

Computed properties:
**ΔE to the lowest computed polymorph**: 65 meV per atom
**E**: -0.1315 hartree per atom

Cell and atoms, written as CIF:
```
data_Tl2NiSb
_chemical_formula_sum 'Tl4 Ni2 Sb2'
_cell_length_a 3.251
_cell_length_b 4.102
_cell_length_c 15.590
_cell_angle_alpha 90.00
_cell_angle_beta 90.00
_cell_angle_gamma 90.00
_space_group_name_H-M_alt 'I m m m'
_space_group_IT_number 71
_space_group_name_Hall '-I 2 2'
loop_
_atom_site_label
_atom_site_fract_x
_atom_site_fract_y
_atom_site_fract_z
Tl1 0.000 0.000 0.170
Ni1 0.000 0.500 0.500
Sb1 0.000 0.500 0.000
```


[21]
VASP calculation (PBE-GGA) on a relaxed structure of K2RbScPt.

Computed properties:
**Formation enthalpy at 0 K**: 0.62 eV per atom
**E**: -0.0916 hartree per atom

Cell and atoms, written as CIF:
```
data_K2RbScPt
_chemical_formula_sum 'K2 Rb1 Sc1 Pt1'
_cell_length_a 6.207
_cell_length_b 6.207
_cell_length_c 6.432
_cell_angle_alpha 90.00
_cell_angle_beta 90.00
_cell_angle_gamma 90.00
_space_group_name_H-M_alt 'P 4/m m m'
_space_group_IT_number 123
_space_group_name_Hall '-P 4 2'
loop_
_atom_site_label
_atom_site_fract_x
_atom_site_fract_y
_atom_site_fract_z
K1 0.000 0.500 0.000
Rb1 0.000 0.000 0.500
Sc1 0.500 0.500 0.500
Pt1 0.000 0.000 0.000
```